Record 1
NbGa4Ir5 | PBE | optimized geometry

POSCAR file:
```
NbGa4Ir5
1.0
2.973 0.000 0.000
0.000 2.973 0.000
0.000 0.000 16.553
Nb Ga Ir
1 4 5
Cartesian
0.000 0.000 0.000
0.000 0.000 3.474
0.000 0.000 6.677
0.000 0.000 9.877
0.000 0.000 13.080
1.487 1.487 1.932
1.487 1.487 5.098
1.487 1.487 8.277
1.487 1.487 11.455
1.487 1.487 14.622
```

Results
Total DFT energy (no corrections)   -7.1162 eV per atom
Magnetization   0.00 μB/cell
Space-group type   No. 123
Calculated volume   146.3 Å³/cell

---

Record 2
NbGaIr | PBE | optimized geometry

POSCAR file:
```
NbGaIr
1.0
3.931 0.000 0.000
0.000 3.931 0.000
0.000 0.000 12.918
Nb Ga Ir
4 4 4
Cartesian
0.000 0.000 2.025
0.000 0.000 10.893
1.966 1.966 4.434
1.966 1.966 8.484
0.000 0.000 4.729
0.000 0.000 8.189
1.966 1.966 1.730
1.966 1.966 11.188
0.000 1.966 0.000
0.000 1.966 6.459
1.966 0.000 0.000
1.966 0.000 6.459
```

Results
Total DFT energy (no corrections)   -7.6318 eV per atom
Magnetization   0.00 μB/cell
Space-group type   No. 139
Calculated volume   199.6 Å³/cell

---

Record 3
NbGaIr | PBE | optimized geometry

POSCAR file:
```
NbGaIr
1.0
6.056 0.000 0.000
0.000 6.056 0.000
0.000 0.000 6.056
Nb Ga Ir
4 4 4
Cartesian
0.000 0.000 0.000
0.000 3.028 3.028
3.028 0.000 3.028
3.028 3.028 0.000
0.000 0.000 3.028
0.000 3.028 0.000
3.028 0.000 0.000
3.028 3.028 3.028
1.514 1.514 4.542
1.514 4.542 1.514
4.542 1.514 1.514
4.542 4.542 4.542
```

Results
Total DFT energy (no corrections)   -7.7295 eV per atom
Magnetization   0.00 μB/cell
Space-group type   No. 216
Calculated volume   222.1 Å³/cell

---

Record 4
NbGa2Ir | PBE | optimized geometry

POSCAR file:
```
NbGa2Ir
1.0
2.996 0.000 0.000
0.000 2.996 0.000
0.000 0.000 6.907
Nb Ga Ir
1 2 1
Cartesian
0.000 0.000 0.000
1.498 1.498 1.887
1.498 1.498 5.020
0.000 0.000 3.454
```

Results
Total DFT energy (no corrections)   -6.5804 eV per atom
Magnetization   0.00 μB/cell
Space-group type   No. 123
Calculated volume   62.0 Å³/cell

---

Record 5
Nb3GaIr | PBE | optimized geometry

POSCAR file:
```
Nb3GaIr
1.0
4.864 0.000 0.000
0.000 4.864 0.000
0.000 0.000 4.864
Nb Ga Ir
3 1 1
Cartesian
0.000 0.000 2.432
0.000 2.432 0.000
2.432 0.000 0.000
2.432 2.432 2.432
0.000 0.000 0.000
```

Results
Magnetization   0.00 μB/cell
E above lowest polymorph   0.0000 eV/atom
Space-group type   No. 221
Calculated volume   115.1 Å³/cell

---

Record 6
NbGa2Ir | PBE | optimized geometry

POSCAR file:
```
NbGa2Ir
1.0
4.020 0.000 0.000
0.000 4.020 0.000
0.000 0.000 3.883
Nb Ga Ir
1 2 1
Cartesian
0.000 0.000 0.000
0.000 2.010 1.941
2.010 0.000 1.941
2.010 2.010 0.000
```

Results
Total DFT energy (no corrections)   -6.5359 eV per atom
Magnetization   0.00 μB/cell
Space-group type   No. 123
Calculated volume   62.7 Å³/cell

---

Record 7
NbGa2Ir | PBE | optimized geometry

POSCAR file:
```
NbGa2Ir
1.0
2.868 0.000 0.000
-1.434 2.483 0.000
0.000 0.000 28.865
Nb Ga Ir
3 6 3
Cartesian
0.000 0.000 0.000
0.000 1.656 19.243
1.434 0.828 9.622
0.000 0.000 2.746
0.000 0.000 26.119
0.000 1.656 16.498
0.000 1.656 21.989
1.434 0.828 6.876
1.434 0.828 12.368
0.000 0.000 14.433
0.000 1.656 4.811
1.434 0.828 24.054
```

Results
Total DFT energy (no corrections)   -6.1598 eV per atom
Magnetization   0.00 μB/cell
Space-group type   No. 166
Calculated volume   205.6 Å³/cell

---

Record 8
NbGa2Ir2 | PBE | optimized geometry

POSCAR file:
```
NbGa2Ir2
1.0
7.346 0.000 0.000
0.000 7.346 0.000
0.000 0.000 2.906
Nb Ga Ir
2 4 4
Cartesian
0.000 0.000 0.000
3.673 3.673 0.000
1.187 2.487 1.453
2.487 6.160 1.453
4.860 1.187 1.453
6.160 4.860 1.453
1.004 4.677 0.000
2.669 1.004 0.000
4.677 6.342 0.000
6.342 2.669 0.000
```

Results
Magnetization   0.00 μB/cell
E above lowest polymorph   0.1591 eV/atom
Space-group type   No. 127
Calculated volume   156.8 Å³/cell

---

Record 9
NbGaIr | PBE | optimized geometry

POSCAR file:
```
NbGaIr
1.0
4.364 0.000 0.000
-2.182 3.779 0.000
0.000 0.000 2.870
Nb Ga Ir
1 1 1
Cartesian
0.000 0.000 0.000
0.000 2.519 1.435
2.182 1.260 1.435
```

Results
Total DFT energy (no corrections)   -7.8724 eV per atom
Magnetization   0.00 μB/cell
Space-group type   No. 187
Calculated volume   47.3 Å³/cell

---

Record 10
Nb14GaIr | PBE | optimized geometry

POSCAR file:
```
Nb14GaIr
1.0
3.363 -4.613 0.000
3.363 4.613 0.000
0.000 0.000 9.212
Nb Ga Ir
14 1 1
Cartesian
0.000 0.000 0.000
1.682 2.307 0.000
1.682 2.307 4.606
3.363 2.348 2.367
3.363 2.348 6.844
1.735 0.000 2.345
1.735 0.000 6.867
1.682 -2.307 0.000
1.682 -2.307 4.606
3.363 0.000 0.000
4.991 0.000 2.345
4.991 0.000 6.867
3.363 -2.348 2.367
3.363 -2.348 6.844
0.000 0.000 4.606
3.363 0.000 4.606
```

Results
Total DFT energy (no corrections)   -9.6945 eV per atom
Magnetization   0.00 μB/cell
Space-group type   No. 65
Calculated volume   285.8 Å³/cell

---

Record 11
Nb2Ga4Ir | PBE | optimized geometry

POSCAR file:
```
Nb2Ga4Ir
1.0
4.798 0.000 0.000
0.000 4.798 0.000
0.000 0.000 12.916
Nb Ga Ir
4 8 2
Cartesian
0.000 0.000 1.278
0.000 0.000 11.638
2.399 2.399 5.180
2.399 2.399 7.736
0.000 0.000 3.959
0.000 0.000 8.958
0.000 2.399 0.000
0.000 2.399 6.458
2.399 0.000 0.000
2.399 0.000 6.458
2.399 2.399 2.499
2.399 2.399 10.417
0.000 0.000 6.458
2.399 2.399 0.000
```

Results
Magnetization   0.00 μB/cell
E above lowest polymorph   0.4818 eV/atom
Space-group type   No. 139
Calculated volume   297.3 Å³/cell

---

Record 12
Nb2GaIr2 | PBE | optimized geometry

POSCAR file:
```
Nb2GaIr2
1.0
7.654 0.000 0.000
0.000 7.654 0.000
0.000 0.000 2.946
Nb Ga Ir
4 2 4
Cartesian
1.269 2.558 0.000
2.558 6.385 0.000
5.096 1.269 0.000
6.385 5.096 0.000
0.000 0.000 1.473
3.827 3.827 1.473
0.988 4.815 1.473
2.839 0.988 1.473
4.815 6.666 1.473
6.666 2.839 1.473
```

Results
Total DFT energy (no corrections)   -8.5509 eV per atom
Magnetization   0.00 μB/cell
Space-group type   No. 127
Calculated volume   172.6 Å³/cell

---

Record 13
NbGaIr2 | PBE | optimized geometry

POSCAR file:
```
NbGaIr2
1.0
4.082 0.000 0.000
0.000 4.082 0.000
0.000 0.000 3.726
Nb Ga Ir
1 1 2
Cartesian
0.000 0.000 0.000
2.041 2.041 0.000
0.000 2.041 1.863
2.041 0.000 1.863
```

Results
Total DFT energy (no corrections)   -8.0582 eV per atom
Magnetization   0.00 μB/cell
Space-group type   No. 123
Calculated volume   62.1 Å³/cell

---

Record 14
Nb3GaIr | PBE | optimized geometry

POSCAR file:
```
Nb3GaIr
1.0
4.654 0.000 0.000
0.000 4.654 0.000
0.000 0.000 4.654
Nb Ga Ir
3 1 1
Cartesian
0.000 0.000 2.327
0.000 2.327 0.000
2.327 0.000 0.000
0.000 0.000 0.000
2.327 2.327 2.327
```

Results
Magnetization   0.00 μB/cell
E above lowest polymorph   0.3046 eV/atom
Space-group type   No. 221
Calculated volume   100.8 Å³/cell

---

Record 15
Nb2Ga3Ir | PBE | optimized geometry

POSCAR file:
```
Nb2Ga3Ir
1.0
4.519 0.000 0.000
0.000 5.283 0.000
0.000 0.000 8.649
Nb Ga Ir
4 6 2
Cartesian
0.000 0.000 1.464
0.000 0.000 7.184
2.260 2.642 2.860
2.260 2.642 5.789
0.000 2.642 1.357
0.000 2.642 4.324
0.000 2.642 7.292
2.260 0.000 0.000
2.260 0.000 2.967
2.260 0.000 5.681
0.000 0.000 4.324
2.260 2.642 0.000
```

Results
Total DFT energy (no corrections)   -6.2688 eV per atom
Magnetization   0.00 μB/cell
Space-group type   No. 71
Calculated volume   206.5 Å³/cell

---

Record 16
NpNbGaIr | PBE | optimized geometry

POSCAR file:
```
NpNbGaIr
1.0
6.631 0.000 0.000
0.000 6.631 0.000
0.000 0.000 6.631
Np Nb Ga Ir
4 4 4 4
Cartesian
0.000 0.000 0.000
0.000 3.316 3.316
3.316 0.000 3.316
3.316 3.316 0.000
1.658 1.658 4.974
1.658 4.974 1.658
4.974 1.658 1.658
4.974 4.974 4.974
1.658 1.658 1.658
1.658 4.974 4.974
4.974 1.658 4.974
4.974 4.974 1.658
0.000 0.000 3.316
0.000 3.316 0.000
3.316 0.000 0.000
3.316 3.316 3.316
```

Results
Total DFT energy (no corrections)   -8.5633 eV per atom
Magnetization   19.21 μB/cell
Space-group type   No. 216
Calculated volume   291.6 Å³/cell

---

Record 17
NbGaIrOs | PBE | optimized geometry

POSCAR file:
```
NbGaIrOs
1.0
6.282 0.000 0.000
0.000 6.282 0.000
0.000 0.000 6.282
Nb Ga Ir Os
4 4 4 4
Cartesian
0.000 0.000 0.000
0.000 3.141 3.141
3.141 0.000 3.141
3.141 3.141 0.000
0.000 0.000 3.141
0.000 3.141 0.000
3.141 0.000 0.000
3.141 3.141 3.141
1.570 1.570 1.570
1.570 4.711 4.711
4.711 1.570 4.711
4.711 4.711 1.570
1.570 1.570 4.711
1.570 4.711 1.570
4.711 1.570 1.570
4.711 4.711 4.711
```

Results
Magnetization   0.33 μB/cell
E above lowest polymorph   0.1127 eV/atom
Space-group type   No. 216
Calculated volume   247.9 Å³/cell

---

Record 18
NbGaIrOs | PBE | optimized geometry

POSCAR file:
```
NbGaIrOs
1.0
4.134 0.000 0.000
0.000 4.134 0.000
0.000 0.000 7.214
Nb Ga Ir Os
2 2 2 2
Cartesian
0.000 0.000 0.000
2.067 2.067 3.607
0.000 0.000 3.607
2.067 2.067 0.000
0.000 2.067 1.804
2.067 0.000 5.411
0.000 2.067 5.411
2.067 0.000 1.804
```

Results
Magnetization   0.00 μB/cell
E above lowest polymorph   0.0000 eV/atom
Space-group type   No. 119
Calculated volume   123.3 Å³/cell

---

Record 19
NbGaPIr2 | PBE | optimized geometry

POSCAR file:
```
NbGaPIr2
1.0
4.856 0.000 0.000
0.000 4.856 0.000
0.000 0.000 4.752
Nb Ga P Ir
1 1 1 2
Cartesian
0.000 0.000 0.000
2.428 2.428 2.376
0.000 0.000 2.376
0.000 2.428 0.000
2.428 0.000 0.000
```

Results
Total DFT energy (no corrections)   -6.0813 eV per atom
Magnetization   0.00 μB/cell
Space-group type   No. 123
Calculated volume   112.1 Å³/cell

---

Record 20
NbGa2IrPb | PBE | optimized geometry

POSCAR file:
```
NbGa2IrPb
1.0
5.022 0.000 0.000
0.000 5.022 0.000
0.000 0.000 5.427
Nb Ga Ir Pb
1 2 1 1
Cartesian
0.000 0.000 0.000
0.000 2.511 2.713
2.511 0.000 2.713
2.511 2.511 0.000
0.000 0.000 2.713
```

Results
Total DFT energy (no corrections)   -3.8262 eV per atom
Magnetization   1.96 μB/cell
Space-group type   No. 123
Calculated volume   136.8 Å³/cell

---

Record 21
NbGaIrPd | PBE | optimized geometry

POSCAR file:
```
NbGaIrPd
1.0
6.330 0.000 0.000
0.000 6.330 0.000
0.000 0.000 6.330
Nb Ga Ir Pd
4 4 4 4
Cartesian
0.000 0.000 0.000
0.000 3.165 3.165
3.165 0.000 3.165
3.165 3.165 0.000
0.000 0.000 3.165
0.000 3.165 0.000
3.165 0.000 0.000
3.165 3.165 3.165
1.582 1.582 4.747
1.582 4.747 1.582
4.747 1.582 1.582
4.747 4.747 4.747
1.582 1.582 1.582
1.582 4.747 4.747
4.747 1.582 4.747
4.747 4.747 1.582
```

Results
Total DFT energy (no corrections)   -7.1688 eV per atom
Magnetization   0.00 μB/cell
Space-group type   No. 216
Calculated volume   253.6 Å³/cell

---

Record 22
NbGa2IrPd | PBE | optimized geometry

POSCAR file:
```
NbGa2IrPd
1.0
4.677 0.000 0.000
0.000 4.677 0.000
0.000 0.000 4.956
Nb Ga Ir Pd
1 2 1 1
Cartesian
0.000 0.000 0.000
0.000 2.339 2.478
2.339 0.000 2.478
0.000 0.000 2.478
2.339 2.339 0.000
```

Results
Total DFT energy (no corrections)   -5.6513 eV per atom
Magnetization   1.02 μB/cell
Space-group type   No. 123
Calculated volume   108.4 Å³/cell

---

Record 23
Pm2NbGa3Ir4 | PBE | optimized geometry

POSCAR file:
```
Pm2NbGa3Ir4
1.0
4.231 0.000 0.000
0.000 4.231 0.000
0.000 0.000 10.725
Pm Nb Ga Ir
2 1 3 4
Cartesian
0.000 2.115 2.476
2.115 0.000 8.249
0.000 0.000 5.362
0.000 2.115 9.383
2.115 0.000 1.342
2.115 2.115 5.362
0.000 0.000 0.000
0.000 2.115 6.861
2.115 0.000 3.863
2.115 2.115 0.000
```

Results
Total DFT energy (no corrections)   -7.0798 eV per atom
Magnetization   0.00 μB/cell
Space-group type   No. 115
Calculated volume   192.0 Å³/cell

---

Record 24
NbGaIrRh | PBE | optimized geometry

POSCAR file:
```
NbGaIrRh
1.0
4.043 0.000 0.000
0.000 4.043 0.000
0.000 0.000 7.466
Nb Ga Ir Rh
2 2 2 2
Cartesian
0.000 0.000 0.000
2.022 2.022 3.733
0.000 0.000 3.733
2.022 2.022 0.000
0.000 2.022 1.866
2.022 0.000 5.599
0.000 2.022 5.599
2.022 0.000 1.866
```

Results
Total DFT energy (no corrections)   -7.9094 eV per atom
Magnetization   0.00 μB/cell
Space-group type   No. 119
Calculated volume   122.0 Å³/cell

---

Record 25
Nb2GaIrRh | PBE | optimized geometry

POSCAR file:
```
Nb2GaIrRh
1.0
4.746 0.000 0.000
0.000 4.746 0.000
0.000 0.000 4.813
Nb Ga Ir Rh
2 1 1 1
Cartesian
0.000 2.373 0.000
2.373 0.000 0.000
0.000 0.000 2.406
2.373 2.373 2.406
2.373 2.373 0.000
```

Results
Total DFT energy (no corrections)   -6.7581 eV per atom
Magnetization   0.00 μB/cell
Space-group type   No. 123
Calculated volume   108.4 Å³/cell

---

Record 26
NbGaIrRu | PBE | optimized geometry

POSCAR file:
```
NbGaIrRu
1.0
4.165 0.000 0.000
0.000 4.165 0.000
0.000 0.000 7.039
Nb Ga Ir Ru
2 2 2 2
Cartesian
0.000 0.000 0.000
2.083 2.083 3.520
0.000 0.000 3.520
2.083 2.083 0.000
0.000 2.083 1.760
2.083 0.000 5.280
0.000 2.083 5.280
2.083 0.000 1.760
```

Results
Total DFT energy (no corrections)   -8.2818 eV per atom
Magnetization   0.00 μB/cell
Space-group type   No. 119
Calculated volume   122.1 Å³/cell

---

Record 27
NbGa2IrS | PBE | optimized geometry

POSCAR file:
```
NbGa2IrS
1.0
4.523 0.000 0.000
0.000 4.523 0.000
0.000 0.000 4.511
Nb Ga Ir S
1 2 1 1
Cartesian
0.000 0.000 0.000
0.000 2.261 2.255
2.261 0.000 2.255
2.261 2.261 0.000
0.000 0.000 2.255
```

Results
Energy relative to the elements, uncorrected   64.65 kJ/mol of atoms
Magnetization   0.00 μB/cell
Space-group type   No. 123
Calculated volume   92.3 Å³/cell